VASP calculation (GGA+U) on a relaxed structure of Li4Mn3Nb2Ni3O16.

```
Li4Mn3Nb2Ni3O16
1.0
5.946 0.005 0.001
3.025 5.119 0.001
0.103 0.059 9.677
Nb Mn O Ni Li
2 3 16 3 4
direct
0.671 0.671 0.502
0.349 0.349 0.016
0.173 0.173 0.280
0.833 0.338 0.784
0.338 0.833 0.784
0.671 0.170 0.904
0.006 0.006 0.692
0.656 0.656 0.889
0.845 0.338 0.405
0.034 0.466 0.155
0.483 0.483 0.146
0.466 0.034 0.155
0.516 0.516 0.670
0.499 0.959 0.662
0.836 0.836 0.422
0.008 0.008 0.197
0.170 0.671 0.904
0.325 0.325 0.390
0.160 0.160 0.894
0.959 0.499 0.662
0.338 0.845 0.405
0.170 0.663 0.288
0.663 0.170 0.288
0.829 0.829 0.786
0.325 0.325 0.596
0.665 0.665 0.098
0.007 0.007 0.505
0.003 0.003 0.011
```

Its electronic total energy is -6.69 eV/atom. Its symmetry is No. 8.

VASP calculation (GGA+U) on a relaxed structure of Li4Mn3NbO8.

```
Li4Mn3NbO8
1.0
6.070 0.003 -0.021
-0.047 10.775 0.008
2.826 1.823 5.053
Li O Mn Nb
8 16 6 2
direct
0.970 0.988 0.525
0.530 0.512 0.475
0.257 0.750 0.493
0.743 0.250 0.506
0.249 0.250 0.001
0.487 0.012 0.018
0.013 0.488 0.982
0.751 0.750 0.999
0.659 0.875 0.241
0.624 0.389 0.239
0.387 0.614 0.238
0.113 0.887 0.762
0.128 0.889 0.236
0.616 0.375 0.783
0.373 0.611 0.763
0.841 0.624 0.759
0.883 0.124 0.217
0.628 0.858 0.725
0.874 0.111 0.762
0.083 0.358 0.769
0.873 0.641 0.275
0.351 0.114 0.773
0.416 0.141 0.232
0.149 0.387 0.227
0.504 0.000 0.497
0.750 0.250 0.001
0.250 0.750 0.999
0.248 0.250 0.500
0.751 0.750 0.500
0.997 0.500 0.503
0.010 0.000 0.990
0.491 0.500 0.010
```

Its electronic total energy is -6.97 eV/atom. Its symmetry is No. 9.

VASP calculation (GGA+U) on a relaxed structure of Li4Mn5NbO12.

```
Li4Mn5NbO12
1.0
5.263 -0.004 -0.009
-2.356 4.707 -0.009
-0.966 -1.562 10.509
Nb Li O Mn
1 4 12 5
direct
0.000 0.000 0.500
0.072 0.427 0.790
0.427 0.072 0.790
0.928 0.573 0.210
0.573 0.928 0.210
0.407 0.771 0.891
0.000 0.662 0.396
0.338 0.000 0.604
0.000 0.338 0.604
0.155 0.155 0.910
0.229 0.593 0.109
0.697 0.697 0.588
0.303 0.303 0.412
0.845 0.845 0.090
0.662 0.000 0.396
0.593 0.229 0.109
0.771 0.407 0.891
0.836 0.164 0.000
0.666 0.334 0.500
0.164 0.836 0.000
0.500 0.500 0.000
0.334 0.666 0.500
```

Its electronic total energy is -7.04 eV/atom. The calculation puts the density of states at the Fermi level at 0.211 states/eV per atom. Its symmetry is No. 12.

VASP calculation (GGA+U) on a relaxed structure of Li2MnNb3O8.

```
Li2MnNb3O8
1.0
1.407 5.375 2.869
-1.817 5.494 -2.370
-4.425 3.416 2.801
Li O Nb Mn
2 8 3 1
direct
0.882 0.882 0.882
0.496 0.496 0.496
0.713 0.251 0.251
0.262 0.262 0.262
0.745 0.277 0.745
0.753 0.753 0.753
0.251 0.713 0.251
0.277 0.745 0.745
0.745 0.745 0.277
0.251 0.251 0.713
0.511 0.978 0.511
0.511 0.511 0.978
0.978 0.511 0.511
0.126 0.126 0.126
```

Its electronic total energy is -8.03 eV/atom. The calculation puts the density of states at the Fermi level at 0.194 states/eV per atom. Its symmetry is No. 160.

Question: Number 2 is which compound?
Answer: Li4Mn3NbO8